(1)
Entry from the Alexandria database: a relaxed structure of UAlSe6 (PBE).

Results
* DOS(E_F): 5.96 states/eV per cell
* formation energy from raw total energies: -0.38 eV per atom
* space-group type: Fm-3m, No. 225
* crystal system: cubic

a = 7.238 Å, b = 7.238 Å, c = 7.238 Å
α = 60.00°, β = 60.00°, γ = 60.00°
Fractional positions:
Se: 0.243 0.243 0.757
U: 0.500 0.500 0.500
Se: 0.757 0.243 0.243
Al: 0.000 0.000 0.000
Se: 0.757 0.243 0.757
Se: 0.243 0.757 0.757
Se: 0.757 0.757 0.243
Se: 0.243 0.757 0.243

***

(2)
Entry from the Alexandria database: a relaxed structure of Cs2Ce2CoS6 (PBE).

Results
* DOS(E_F): 6.28 states/eV per cell
* formation energy from raw total energies: -1.28 eV per atom
* space-group type: C2/m, No. 12
* crystal system: monoclinic

a = 6.719 Å, b = 6.719 Å, c = 8.546 Å
α = 98.02°, β = 98.02°, γ = 118.98°
Fractional positions:
Cs: 0.169 0.831 0.000
S: 0.770 0.770 0.662
Ce: 0.331 0.669 0.500
Co: 0.000 0.000 0.500
S: 0.230 0.230 0.338
S: 0.065 0.366 0.674
S: 0.935 0.634 0.326
Cs: 0.831 0.169 0.000
S: 0.634 0.935 0.326
S: 0.366 0.065 0.674
Ce: 0.669 0.331 0.500

***

(3)
Entry from the Alexandria database: a relaxed structure of TiCdSiTc2 (PBE).

Results
* DOS(E_F): 3.79 states/eV per cell
* formation energy from raw total energies: 1.93 eV per atom
* space-group type: P4/mmm, No. 123
* crystal system: tetragonal

a = 4.960 Å, b = 4.465 Å, c = 4.960 Å
α = 90.00°, β = 90.00°, γ = 90.00°
Fractional positions:
Si: 0.000 0.500 0.000
Cd: 0.000 0.000 0.000
Tc: 0.000 0.000 0.500
Tc: 0.500 0.000 0.000
Ti: 0.500 0.500 0.500

***

(4)
Entry from the Alexandria database: a relaxed structure of Rb2SiSb (PBE).

Results
* DOS(E_F): 4.66 states/eV per cell
* formation energy from raw total energies: 0.14 eV per atom
* space-group type: I-42d, No. 122
* crystal system: tetragonal

a = 13.763 Å, b = 13.763 Å, c = 10.084 Å
α = 46.97°, β = 46.97°, γ = 90.00°
Fractional positions:
Sb: 0.000 0.000 0.000
Rb: 0.817 0.125 0.250
Rb: 0.933 0.625 0.250
Rb: 0.875 0.067 0.750
Si: 0.250 0.750 0.500
Rb: 0.375 0.183 0.750
Sb: 0.750 0.250 0.500
Si: 0.500 0.500 0.000